# AcLa4Au

A relaxed structure of AcLa4Au (PBE, Alexandria via LeMat-Bulk).

Cell: 6.925 7.443 9.355 Å, 104.41 111.58 89.85°
Sites, in units of the cell vectors:
Ac: 0.074 0.749 0.999
La: 0.295 0.596 0.358
La: 0.493 0.150 0.203
La: 0.062 0.095 0.358
Au: 0.500 0.000 0.500
La: 0.708 0.652 0.205
Ac: 0.926 0.251 0.001
La: 0.292 0.348 0.795
La: 0.507 0.850 0.797
Au: 0.000 0.500 0.500
La: 0.705 0.404 0.642
La: 0.938 0.905 0.642

Results
Size of the total moment, μB/f.u.: 0.000
Crystal system: triclinic
Total DFT energy (no corrections), eV/atom: -4.694

***

# AcLaAu

A relaxed structure of AcLaAu (PBE, Alexandria via LeMat-Bulk).

Cell: 4.130 8.922 16.177 Å, 89.06 90.00 90.00°
Sites, in units of the cell vectors:
La: 0.250 0.361 0.214
Ac: 0.250 0.469 0.610
La: 0.750 0.159 0.519
La: 0.750 0.973 0.910
Ac: 0.750 0.655 0.084
Au: 0.750 0.774 0.613
Ac: 0.250 0.019 0.710
Au: 0.250 0.710 0.249
Ac: 0.750 0.531 0.390
Au: 0.750 0.284 0.071
Au: 0.250 0.716 0.929
La: 0.250 0.027 0.090
La: 0.250 0.841 0.481
Ac: 0.750 0.981 0.290
Au: 0.250 0.226 0.387
La: 0.750 0.639 0.786
Ac: 0.250 0.345 0.916
Au: 0.750 0.290 0.751

Results
Size of the total moment, μB/f.u.: 0.000
Crystal system: monoclinic
E above lowest polymorph, meV per atom: 0
Total DFT energy (no corrections), eV/atom: -4.635

***

# Ac4LaAu3

A relaxed structure of Ac4LaAu3 (PBE, Alexandria via LeMat-Bulk).

Cell: 4.237 4.945 12.690 Å, 90.00 90.00 90.00°
Sites, in units of the cell vectors:
Au: 0.000 0.000 0.430
Ac: 0.500 0.000 0.629
Ac: 0.000 0.500 0.837
Ac: 0.500 0.500 0.371
Au: 0.000 0.500 0.584
Ac: 0.000 0.000 0.172
Au: 0.500 0.000 0.908
La: 0.500 0.500 0.067

Results
Size of the total moment, μB/f.u.: 0.000
Crystal system: orthorhombic
Total DFT energy (no corrections), eV/atom: -4.436

***

# AcLa2Au2

A relaxed structure of AcLa2Au2 (PBE, Alexandria via LeMat-Bulk).

Cell: 4.043 8.680 8.680 Å, 90.00 90.00 90.00°
Sites, in units of the cell vectors:
Au: 0.000 0.872 0.628
Au: 0.000 0.628 0.128
La: 0.500 0.839 0.339
Ac: 0.000 0.000 0.000
La: 0.500 0.339 0.161
La: 0.500 0.161 0.661
Ac: 0.000 0.500 0.500
Au: 0.000 0.372 0.872
La: 0.500 0.661 0.839
Au: 0.000 0.128 0.372

Results
Size of the total moment, μB/f.u.: 0.000
Crystal system: tetragonal
Total DFT energy (no corrections), eV/atom: -4.740

***

# AcLaAu

A relaxed structure of AcLaAu (PBE, Alexandria via LeMat-Bulk).

Cell: 3.880 7.722 7.194 Å, 106.03 105.66 89.98°
Sites, in units of the cell vectors:
La: 0.305 0.990 0.378
Au: 0.931 0.801 0.628
Au: 0.947 0.303 0.661
La: 0.573 0.114 0.912
Ac: 0.293 0.472 0.352
Ac: 0.585 0.632 0.937

Results
Size of the total moment, μB/f.u.: 0.220
Crystal system: monoclinic
E above lowest polymorph, meV per atom: 42
Total DFT energy (no corrections), eV/atom: -4.593

***

# Ac6LaAu4

A relaxed structure of Ac6LaAu4 (PBE, Alexandria via LeMat-Bulk).

Cell: 6.579 6.579 10.132 Å, 105.86 105.86 100.14°
Sites, in units of the cell vectors:
Ac: 0.091 0.565 0.645
Au: 0.117 0.117 0.711
La: 0.998 0.998 0.948
Ac: 0.953 0.530 0.027
Ac: 0.930 0.930 0.369
Ac: 0.426 0.426 0.342
Ac: 0.565 0.091 0.645
Ac: 0.530 0.953 0.027
Au: 0.617 0.617 0.703
Au: 0.378 0.896 0.291
Au: 0.896 0.378 0.291

Results
Size of the total moment, μB/f.u.: 0.000
Crystal system: monoclinic
Total DFT energy (no corrections), eV/atom: -4.363

***

Please write out number 6 again, unchanged.
# Ac6LaAu4

A relaxed structure of Ac6LaAu4 (PBE, Alexandria via LeMat-Bulk).

Cell: 6.579 6.579 10.132 Å, 105.86 105.86 100.14°
Sites, in units of the cell vectors:
Ac: 0.091 0.565 0.645
Au: 0.117 0.117 0.711
La: 0.998 0.998 0.948
Ac: 0.953 0.530 0.027
Ac: 0.930 0.930 0.369
Ac: 0.426 0.426 0.342
Ac: 0.565 0.091 0.645
Ac: 0.530 0.953 0.027
Au: 0.617 0.617 0.703
Au: 0.378 0.896 0.291
Au: 0.896 0.378 0.291

Results
Size of the total moment, μB/f.u.: 0.000
Crystal system: monoclinic
Total DFT energy (no corrections), eV/atom: -4.363

***

- Which of these has the lowest total DFT energy (no corrections)?
  AcLa2Au2

***

- Which of these has the highest size of the total moment?
  number 5